Entry 1:
Entry from Alexandria via LeMat-Bulk: an optimized crystal structure of CdSi3Ir (PBE-GGA).

uncorrected energy = -23.906 eV for the cell shown
energy relative to the elements, uncorrected = 0.4279 eV per atom
DOS at the Fermi energy = 3.94 states/eV per cell

Cell: 4.709 4.709 4.709 Å, 90.00 90.00 90.00°
Space group Pm-3m (No. 221)
Asymmetric unit:
Cd 0.000 0.000 0.000 (multiplicity 1)
Si 0.000 0.500 0.500 (multiplicity 3)
Ir 0.500 0.500 0.500 (multiplicity 1)

Entry 2:
Entry from Alexandria via LeMat-Bulk: an optimized crystal structure of CdSi2Ir (PBE-GGA).

uncorrected energy = -20.414 eV for the cell shown
energy relative to the elements, uncorrected = 0.0520 eV per atom
DOS at the Fermi energy = 1.38 states/eV per cell

Cell: 2.877 3.400 6.895 Å, 90.00 90.00 90.00°
Space group Pmm2 (No. 25)
Asymmetric unit:
Cd 0.000 0.000 0.000 (multiplicity 1)
Si 0.000 0.000 0.454 (multiplicity 1)
Si 0.500 0.500 0.673 (multiplicity 1)
Ir 0.500 0.500 0.299 (multiplicity 1)

Entry 3:
Entry from Alexandria via LeMat-Bulk: an optimized crystal structure of CdSiIr (PBE-GGA).

uncorrected energy = -31.202 eV for the cell shown
energy relative to the elements, uncorrected = -0.1339 eV per atom
DOS at the Fermi energy = 1.72 states/eV per cell

Cell: 2.925 3.529 9.705 Å, 90.00 90.00 90.00°
Space group Imm2 (No. 44)
Asymmetric unit:
Cd 0.000 0.000 0.000 (multiplicity 2)
Si 0.000 0.000 0.294 (multiplicity 2)
Ir 0.000 0.000 0.701 (multiplicity 2)

Entry 4:
Entry from Alexandria via LeMat-Bulk: an optimized crystal structure of CdSiIr2 (PBE-GGA).

uncorrected energy = -95.927 eV for the cell shown
energy relative to the elements, uncorrected = 0.0196 eV per atom
DOS at the Fermi energy = 3.23 states/eV per cell

Cell: 7.026 7.026 5.456 Å, 90.00 90.00 90.00°
Space group I-42d (No. 122)
Asymmetric unit:
Cd 0.000 0.000 0.000 (multiplicity 4)
Si 0.000 0.000 0.500 (multiplicity 4)
Ir 0.189 0.750 0.625 (multiplicity 8)

Entry 5:
Entry from Alexandria via LeMat-Bulk: an optimized crystal structure of CdSiIr2 (PBE-GGA).

uncorrected energy = -49.434 eV for the cell shown
energy relative to the elements, uncorrected = -0.1642 eV per atom
DOS at the Fermi energy = 3.27 states/eV per cell

Cell: 7.067 2.867 7.390 Å, 90.00 105.20 90.00°
Space group C2/m (No. 12)
Asymmetric unit:
Cd 0.000 0.000 0.000 (multiplicity 2)
Si 0.000 0.000 0.500 (multiplicity 2)
Ir 0.164 0.500 0.329 (multiplicity 4)

Entry 6:
Entry from Alexandria via LeMat-Bulk: an optimized crystal structure of CdSi2Ir (PBE-GGA).

uncorrected energy = -20.507 eV for the cell shown
energy relative to the elements, uncorrected = 0.0288 eV per atom
DOS at the Fermi energy = 1.83 states/eV per cell

Cell: 2.935 2.935 7.783 Å, 90.00 90.00 90.00°
Space group P4/mmm (No. 123)
Asymmetric unit:
Cd 0.000 0.000 0.000 (multiplicity 1)
Si 0.500 0.500 0.299 (multiplicity 2)
Ir 0.000 0.000 0.500 (multiplicity 1)

Entry 7:
Entry from Alexandria via LeMat-Bulk: an optimized crystal structure of CdSiIr2 (PBE-GGA).

uncorrected energy = -49.664 eV for the cell shown
energy relative to the elements, uncorrected = -0.1930 eV per atom
DOS at the Fermi energy = 4.27 states/eV per cell

Cell: 2.966 3.021 14.756 Å, 90.00 90.00 90.00°
Space group Imm2 (No. 44)
Asymmetric unit:
Cd 0.000 0.000 0.000 (multiplicity 2)
Si 0.000 0.500 0.756 (multiplicity 2)
Ir 0.000 0.000 0.634 (multiplicity 2)
Ir 0.000 0.500 0.335 (multiplicity 2)

Entry 8:
Entry from Alexandria via LeMat-Bulk: an optimized crystal structure of CdSiIr2 (PBE-GGA).

uncorrected energy = -46.232 eV for the cell shown
energy relative to the elements, uncorrected = 0.2360 eV per atom
DOS at the Fermi energy = 7.36 states/eV per cell

Cell: 3.848 3.848 8.343 Å, 90.00 90.00 90.00°
Space group I-4m2 (No. 119)
Asymmetric unit:
Cd 0.000 0.000 0.000 (multiplicity 2)
Si 0.000 0.500 0.250 (multiplicity 2)
Ir 0.000 0.000 0.500 (multiplicity 2)
Ir 0.000 0.500 0.750 (multiplicity 2)